# 1
{
  "formula": "Li3Bi3P4O16",
  "functional": "PBEsol",
  "state": "relaxed",
  "space_group": "No. 14",
  "de_polymorph_mev_per_atom": 17.0,
  "crystal_system": "monoclinic",
  "formation_energy_uncorrected_ev_per_fu": -52.21,
  "dos_at_fermi_per_ev_atom": 0.000,
  "cell": [[9.078, 0.000, 0.000], [0.000, 5.328, 0.000], [-8.422, 0.000, 14.803]],
  "species": ["Li", "Li", "Li", "Li", "Li", "Li", "Bi", "Bi", "Bi", "Bi", "Bi", "Bi", "P", "P", "P", "P", "P", "P", "P", "P", "O", "O", "O", "O", "O", "O", "O", "O", "O", "O", "O", "O", "O", "O", "O", "O", "O", "O", "O", "O", "O", "O", "O", "O", "O", "O", "O", "O", "O", "O", "O", "O"],
  "fractional_positions": [[0.000, 0.000, 0.000], [0.000, 0.500, 0.500], [0.111, 0.053, 0.286], [0.111, 0.447, 0.786], [0.889, 0.553, 0.214], [0.889, 0.947, 0.714], [0.400, 0.535, 0.632], [0.400, 0.965, 0.132], [0.500, 0.000, 0.500], [0.500, 0.500, 0.000], [0.600, 0.035, 0.868], [0.600, 0.465, 0.368], [0.230, 0.528, 0.392], [0.230, 0.972, 0.892], [0.266, 0.034, 0.639], [0.266, 0.466, 0.139], [0.734, 0.534, 0.861], [0.734, 0.966, 0.361], [0.770, 0.028, 0.108], [0.770, 0.472, 0.608], [0.085, 0.091, 0.809], [0.085, 0.409, 0.309], [0.131, 0.220, 0.581], [0.131, 0.280, 0.081], [0.205, 0.524, 0.475], [0.205, 0.976, 0.975], [0.214, 0.732, 0.153], [0.214, 0.768, 0.653], [0.269, 0.698, 0.875], [0.269, 0.802, 0.375], [0.385, 0.172, 0.730], [0.385, 0.328, 0.230], [0.386, 0.534, 0.098], [0.386, 0.966, 0.598], [0.396, 0.131, 0.917], [0.396, 0.369, 0.417], [0.604, 0.631, 0.583], [0.604, 0.869, 0.083], [0.614, 0.034, 0.402], [0.614, 0.466, 0.902], [0.615, 0.672, 0.770], [0.615, 0.828, 0.270], [0.731, 0.198, 0.625], [0.731, 0.302, 0.125], [0.786, 0.232, 0.347], [0.786, 0.268, 0.847], [0.795, 0.024, 0.025], [0.795, 0.476, 0.525], [0.869, 0.720, 0.919], [0.869, 0.780, 0.419], [0.915, 0.591, 0.691], [0.915, 0.909, 0.191]]
}

=====

# 2
{
  "formula": "Li3Bi2P3O12",
  "functional": "PBEsol",
  "state": "relaxed",
  "space_group": "No. 12",
  "de_polymorph_mev_per_atom": 19.0,
  "crystal_system": "monoclinic",
  "formation_energy_uncorrected_ev_per_fu": -41.69,
  "dos_at_fermi_per_ev_atom": 0.000,
  "cell": [[4.289, -2.807, 0.000], [4.289, 2.807, 0.000], [-0.791, 0.000, 20.032]],
  "species": ["Li", "Li", "Li", "Li", "Li", "Li", "Bi", "Bi", "Bi", "Bi", "P", "P", "P", "P", "P", "P", "O", "O", "O", "O", "O", "O", "O", "O", "O", "O", "O", "O", "O", "O", "O", "O", "O", "O", "O", "O", "O", "O", "O", "O"],
  "fractional_positions": [[0.000, 0.000, 0.158], [0.000, 0.000, 0.842], [0.338, 0.338, 0.910], [0.341, 0.341, 0.224], [0.659, 0.659, 0.776], [0.662, 0.662, 0.090], [0.000, 0.000, 0.000], [0.000, 0.000, 0.500], [0.008, 0.008, 0.319], [0.992, 0.992, 0.681], [0.348, 0.348, 0.764], [0.356, 0.356, 0.078], [0.359, 0.359, 0.399], [0.641, 0.641, 0.601], [0.644, 0.644, 0.922], [0.652, 0.652, 0.236], [0.235, 0.235, 0.451], [0.236, 0.690, 0.410], [0.238, 0.238, 0.132], [0.241, 0.241, 0.822], [0.241, 0.683, 0.766], [0.249, 0.688, 0.085], [0.255, 0.255, 0.696], [0.277, 0.277, 0.007], [0.294, 0.294, 0.326], [0.310, 0.764, 0.590], [0.312, 0.751, 0.915], [0.317, 0.759, 0.234], [0.683, 0.241, 0.766], [0.688, 0.249, 0.085], [0.690, 0.236, 0.410], [0.706, 0.706, 0.674], [0.723, 0.723, 0.993], [0.745, 0.745, 0.304], [0.751, 0.312, 0.915], [0.759, 0.317, 0.234], [0.759, 0.759, 0.178], [0.762, 0.762, 0.868], [0.764, 0.310, 0.590], [0.765, 0.765, 0.549]]
}

=====

# 3
{
  "formula": "Li3Bi2P5O18",
  "functional": "PBEsol",
  "state": "relaxed",
  "space_group": "No. 2",
  "crystal_system": "triclinic",
  "formation_energy_uncorrected_ev_per_fu": -56.01,
  "dos_at_fermi_per_ev_atom": 0.088,
  "cell": [[6.741, 0.000, 0.000], [-0.037, 9.822, 0.000], [-0.452, -1.101, 10.893]],
  "species": ["Li", "Li", "Li", "Li", "Li", "Li", "Bi", "Bi", "Bi", "Bi", "P", "P", "P", "P", "P", "P", "P", "P", "P", "P", "O", "O", "O", "O", "O", "O", "O", "O", "O", "O", "O", "O", "O", "O", "O", "O", "O", "O", "O", "O", "O", "O", "O", "O", "O", "O", "O", "O", "O", "O", "O", "O", "O", "O", "O", "O"],
  "fractional_positions": [[0.112, 0.173, 0.185], [0.173, 0.879, 0.153], [0.339, 0.355, 0.328], [0.661, 0.645, 0.672], [0.827, 0.121, 0.847], [0.888, 0.827, 0.815], [0.237, 0.350, 0.893], [0.334, 0.763, 0.455], [0.666, 0.237, 0.545], [0.763, 0.650, 0.107], [0.152, 0.585, 0.697], [0.169, 0.296, 0.589], [0.222, 0.014, 0.904], [0.276, 0.579, 0.148], [0.474, 0.040, 0.294], [0.526, 0.960, 0.706], [0.724, 0.421, 0.852], [0.778, 0.986, 0.096], [0.831, 0.704, 0.411], [0.848, 0.415, 0.303], [0.002, 0.796, 0.459], [0.027, 0.327, 0.288], [0.037, 0.992, 0.823], [0.070, 0.443, 0.625], [0.096, 0.679, 0.140], [0.214, 0.437, 0.079], [0.224, 0.164, 0.978], [0.241, 0.546, 0.824], [0.259, 0.919, 0.000], [0.270, 0.252, 0.710], [0.322, 0.636, 0.626], [0.331, 0.920, 0.310], [0.333, 0.311, 0.500], [0.335, 0.556, 0.280], [0.369, 0.165, 0.258], [0.377, 0.938, 0.596], [0.407, 0.024, 0.821], [0.443, 0.647, 0.080], [0.557, 0.353, 0.920], [0.593, 0.976, 0.179], [0.623, 0.062, 0.404], [0.631, 0.835, 0.742], [0.665, 0.444, 0.720], [0.667, 0.689, 0.500], [0.669, 0.080, 0.690], [0.678, 0.364, 0.374], [0.730, 0.748, 0.290], [0.741, 0.081, 0.000], [0.759, 0.454, 0.176], [0.776, 0.836, 0.022], [0.786, 0.563, 0.921], [0.904, 0.321, 0.860], [0.930, 0.557, 0.375], [0.963, 0.008, 0.177], [0.973, 0.673, 0.712], [0.998, 0.204, 0.541]]
}

=====

# 4
{
  "formula": "Li2BiP2O8",
  "functional": "PBEsol",
  "state": "relaxed",
  "space_group": "No. 143",
  "crystal_system": "trigonal",
  "formation_energy_uncorrected_ev_per_fu": -26.08,
  "dos_at_fermi_per_ev_atom": 0.164,
  "cell": [[8.396, 0.000, 0.000], [-4.198, 7.272, 0.000], [0.000, 0.000, 7.784]],
  "species": ["Li", "Li", "Li", "Li", "Li", "Li", "Bi", "Bi", "Bi", "P", "P", "P", "P", "P", "P", "O", "O", "O", "O", "O", "O", "O", "O", "O", "O", "O", "O", "O", "O", "O", "O", "O", "O", "O", "O", "O", "O", "O", "O"],
  "fractional_positions": [[0.000, 0.000, 0.000], [0.024, 0.689, 0.834], [0.311, 0.335, 0.834], [0.333, 0.667, 0.081], [0.665, 0.976, 0.834], [0.667, 0.333, 0.972], [0.000, 0.000, 0.527], [0.333, 0.667, 0.467], [0.667, 0.333, 0.404], [0.016, 0.699, 0.218], [0.301, 0.317, 0.218], [0.378, 0.025, 0.712], [0.646, 0.622, 0.712], [0.683, 0.984, 0.218], [0.975, 0.354, 0.712], [0.044, 0.803, 0.051], [0.079, 0.826, 0.379], [0.126, 0.598, 0.228], [0.174, 0.253, 0.379], [0.186, 0.444, 0.699], [0.197, 0.241, 0.051], [0.248, 0.108, 0.717], [0.258, 0.814, 0.699], [0.402, 0.529, 0.228], [0.445, 0.249, 0.226], [0.471, 0.874, 0.228], [0.490, 0.078, 0.537], [0.511, 0.090, 0.862], [0.556, 0.742, 0.699], [0.579, 0.489, 0.862], [0.588, 0.510, 0.537], [0.747, 0.921, 0.379], [0.751, 0.196, 0.226], [0.759, 0.956, 0.051], [0.804, 0.555, 0.226], [0.860, 0.752, 0.717], [0.892, 0.140, 0.717], [0.910, 0.421, 0.862], [0.922, 0.412, 0.537]]
}

=====

# 5
{
  "formula": "LiBi2PO6",
  "functional": "PBEsol",
  "state": "relaxed",
  "space_group": "No. 60",
  "crystal_system": "orthorhombic",
  "formation_energy_uncorrected_ev_per_fu": -18.01,
  "dos_at_fermi_per_ev_atom": 0.000,
  "cell": [[10.193, 0.000, 0.000], [0.000, 9.475, 0.000], [0.000, 0.000, 5.547]],
  "species": ["Li", "Li", "Li", "Li", "Bi", "Bi", "Bi", "Bi", "Bi", "Bi", "Bi", "Bi", "P", "P", "P", "P", "O", "O", "O", "O", "O", "O", "O", "O", "O", "O", "O", "O", "O", "O", "O", "O", "O", "O", "O", "O", "O", "O", "O", "O"],
  "fractional_positions": [[0.000, 0.128, 0.250], [0.000, 0.872, 0.750], [0.500, 0.372, 0.750], [0.500, 0.628, 0.250], [0.250, 0.114, 0.742], [0.250, 0.386, 0.242], [0.250, 0.614, 0.742], [0.250, 0.886, 0.242], [0.750, 0.114, 0.758], [0.750, 0.386, 0.258], [0.750, 0.614, 0.758], [0.750, 0.886, 0.258], [0.000, 0.345, 0.750], [0.000, 0.655, 0.250], [0.500, 0.155, 0.250], [0.500, 0.845, 0.750], [0.064, 0.251, 0.553], [0.064, 0.749, 0.053], [0.108, 0.437, 0.872], [0.108, 0.563, 0.372], [0.155, 0.059, 0.074], [0.155, 0.941, 0.574], [0.345, 0.441, 0.574], [0.345, 0.559, 0.074], [0.392, 0.063, 0.372], [0.392, 0.937, 0.872], [0.436, 0.249, 0.053], [0.436, 0.751, 0.553], [0.564, 0.249, 0.447], [0.564, 0.751, 0.947], [0.608, 0.063, 0.128], [0.608, 0.937, 0.628], [0.655, 0.441, 0.926], [0.655, 0.559, 0.426], [0.845, 0.059, 0.426], [0.845, 0.941, 0.926], [0.892, 0.437, 0.628], [0.892, 0.563, 0.128], [0.936, 0.251, 0.947], [0.936, 0.749, 0.447]]
}

=====

# 6
{
  "formula": "Li3Bi2P3O12",
  "functional": "PBEsol",
  "state": "relaxed",
  "space_group": "No. 148",
  "de_polymorph_mev_per_atom": 0.0,
  "crystal_system": "trigonal",
  "formation_energy_uncorrected_ev_per_fu": -42.07,
  "dos_at_fermi_per_ev_atom": 0.000,
  "cell": [[4.398, 2.539, 8.184], [-4.398, 2.539, 8.184], [0.000, -5.078, 8.184]],
  "species": ["Li", "Li", "Li", "Li", "Li", "Li", "Bi", "Bi", "Bi", "Bi", "P", "P", "P", "P", "P", "P", "O", "O", "O", "O", "O", "O", "O", "O", "O", "O", "O", "O", "O", "O", "O", "O", "O", "O", "O", "O", "O", "O", "O", "O"],
  "fractional_positions": [[0.063, 0.737, 0.335], [0.263, 0.665, 0.937], [0.335, 0.063, 0.737], [0.665, 0.937, 0.263], [0.737, 0.335, 0.063], [0.937, 0.263, 0.665], [0.152, 0.152, 0.152], [0.342, 0.342, 0.342], [0.658, 0.658, 0.658], [0.848, 0.848, 0.848], [0.053, 0.432, 0.748], [0.252, 0.947, 0.568], [0.432, 0.748, 0.053], [0.568, 0.252, 0.947], [0.748, 0.053, 0.432], [0.947, 0.568, 0.252], [0.016, 0.423, 0.183], [0.117, 0.601, 0.200], [0.147, 0.501, 0.534], [0.160, 0.817, 0.752], [0.183, 0.016, 0.423], [0.183, 0.248, 0.840], [0.200, 0.117, 0.601], [0.248, 0.840, 0.183], [0.399, 0.800, 0.883], [0.423, 0.183, 0.016], [0.466, 0.853, 0.499], [0.499, 0.466, 0.853], [0.501, 0.534, 0.147], [0.534, 0.147, 0.501], [0.577, 0.817, 0.984], [0.601, 0.200, 0.117], [0.752, 0.160, 0.817], [0.800, 0.883, 0.399], [0.817, 0.752, 0.160], [0.817, 0.984, 0.577], [0.840, 0.183, 0.248], [0.853, 0.499, 0.466], [0.883, 0.399, 0.800], [0.984, 0.577, 0.817]]
}

=====

# 7
{
  "formula": "LiBi2P3O12",
  "functional": "PBEsol",
  "state": "relaxed",
  "space_group": "No. 2",
  "crystal_system": "triclinic",
  "formation_energy_uncorrected_ev_per_fu": -33.16,
  "cell": [[8.580, 0.000, 0.000], [-4.272, 7.514, 0.000], [-0.041, -4.965, 8.216]],
  "species": ["Li", "Li", "Bi", "Bi", "Bi", "Bi", "P", "P", "P", "P", "P", "P", "O", "O", "O", "O", "O", "O", "O", "O", "O", "O", "O", "O", "O", "O", "O", "O", "O", "O", "O", "O", "O", "O", "O", "O"],
  "fractional_positions": [[0.054, 0.309, 0.114], [0.946, 0.691, 0.886], [0.154, 0.801, 0.435], [0.354, 0.195, 0.031], [0.646, 0.805, 0.969], [0.846, 0.199, 0.565], [0.052, 0.004, 0.235], [0.258, 0.712, 0.754], [0.452, 0.689, 0.242], [0.548, 0.311, 0.758], [0.742, 0.288, 0.246], [0.948, 0.996, 0.765], [0.003, 0.108, 0.385], [0.131, 0.189, 0.914], [0.133, 0.506, 0.746], [0.156, 0.909, 0.249], [0.166, 0.170, 0.185], [0.202, 0.857, 0.884], [0.231, 0.701, 0.593], [0.247, 0.592, 0.244], [0.415, 0.133, 0.590], [0.467, 0.766, 0.119], [0.473, 0.813, 0.819], [0.495, 0.475, 0.819], [0.505, 0.525, 0.181], [0.527, 0.187, 0.181], [0.533, 0.234, 0.881], [0.585, 0.867, 0.410], [0.753, 0.408, 0.756], [0.769, 0.299, 0.407], [0.798, 0.143, 0.116], [0.834, 0.830, 0.815], [0.844, 0.091, 0.751], [0.867, 0.494, 0.254], [0.869, 0.811, 0.086], [0.997, 0.892, 0.615]]
}

=====

# 8
{
  "formula": "LiBiP4O12",
  "functional": "PBEsol",
  "state": "relaxed",
  "space_group": "No. 12",
  "crystal_system": "monoclinic",
  "formation_energy_uncorrected_ev_per_fu": -37.25,
  "dos_at_fermi_per_ev_atom": 0.000,
  "cell": [[8.555, -5.992, 0.000], [8.555, 5.992, 0.000], [-1.345, 0.000, 4.941]],
  "species": ["Li", "Li", "Bi", "Bi", "P", "P", "P", "P", "P", "P", "P", "P", "O", "O", "O", "O", "O", "O", "O", "O", "O", "O", "O", "O", "O", "O", "O", "O", "O", "O", "O", "O", "O", "O", "O", "O"],
  "fractional_positions": [[0.000, 0.500, 0.000], [0.500, 0.000, 0.000], [0.171, 0.171, 0.749], [0.829, 0.829, 0.251], [0.091, 0.735, 0.802], [0.217, 0.457, 0.556], [0.265, 0.909, 0.198], [0.457, 0.217, 0.556], [0.543, 0.783, 0.444], [0.735, 0.091, 0.802], [0.783, 0.543, 0.444], [0.909, 0.265, 0.198], [0.005, 0.294, 0.055], [0.030, 0.796, 0.546], [0.139, 0.391, 0.680], [0.163, 0.837, 0.000], [0.173, 0.475, 0.268], [0.204, 0.970, 0.454], [0.219, 0.600, 0.752], [0.294, 0.005, 0.055], [0.379, 0.379, 0.621], [0.391, 0.139, 0.680], [0.400, 0.781, 0.248], [0.475, 0.173, 0.268], [0.525, 0.827, 0.732], [0.600, 0.219, 0.752], [0.609, 0.861, 0.320], [0.621, 0.621, 0.379], [0.706, 0.995, 0.945], [0.781, 0.400, 0.248], [0.796, 0.030, 0.546], [0.827, 0.525, 0.732], [0.837, 0.163, 0.000], [0.861, 0.609, 0.320], [0.970, 0.204, 0.454], [0.995, 0.706, 0.945]]
}

=====

Which formula does entry 6 have?
Li3Bi2P3O12